(1)
Crystalline NaCuSe at its relaxed geometry. Source: Alexandria, functional PBE.

Summary:
D(E_F) = 0.1558 states/eV per atom
Formation energy from raw total energies = -597 meV/atom
Space-group type = No. 129

```
NaCuSe
1.0
4.096 0.000 0.000
0.000 4.096 0.000
0.000 0.000 6.878
Na Cu Se
2 2 2
direct
0.500 0.000 0.162 Na
0.000 0.500 0.838 Na
0.000 0.000 0.500 Cu
0.500 0.500 0.500 Cu
0.500 0.000 0.723 Se
0.000 0.500 0.277 Se
```

(2)
Crystalline NaCu8Se6 at its relaxed geometry. Source: Alexandria, functional PBE.

Summary:
D(E_F) = 0.8135 states/eV per atom
Formation energy from raw total energies = -201 meV/atom
Space-group type = No. 148

```
NaCu8Se6
1.0
-3.629 3.423 4.777
-3.600 -3.483 4.755
3.562 -0.009 7.707
Na Cu Se
1 8 6
direct
0.000 0.000 0.000 Na
0.824 0.447 0.596 Cu
0.866 0.176 0.404 Cu
0.553 0.866 0.404 Cu
0.440 0.440 0.680 Cu
0.560 0.560 0.320 Cu
0.447 0.134 0.596 Cu
0.134 0.824 0.596 Cu
0.176 0.553 0.404 Cu
0.924 0.572 0.260 Se
0.757 0.076 0.740 Se
0.428 0.757 0.740 Se
0.572 0.243 0.260 Se
0.243 0.924 0.260 Se
0.076 0.428 0.740 Se
```

(3)
Crystalline NaCuSe2 at its relaxed geometry. Source: Alexandria, functional PBE.

Summary:
D(E_F) = 0.0649 states/eV per atom
Formation energy from raw total energies = -449 meV/atom
Space-group type = No. 13

```
NaCuSe2
1.0
5.072 0.000 0.000
0.000 5.592 -0.310
0.000 -1.639 13.870
Na Cu Se
4 4 8
direct
0.251 0.987 0.372 Na
0.749 0.013 0.628 Na
0.251 0.513 0.128 Na
0.749 0.487 0.872 Na
0.250 0.527 0.608 Cu
0.750 0.473 0.392 Cu
0.250 0.973 0.892 Cu
0.750 0.027 0.108 Cu
0.750 0.010 0.939 Se
0.250 0.990 0.061 Se
0.750 0.490 0.561 Se
0.250 0.510 0.439 Se
0.751 0.523 0.228 Se
0.249 0.477 0.772 Se
0.751 0.977 0.272 Se
0.249 0.023 0.728 Se
```

(4)
Crystalline Na3Cu2Se3 at its relaxed geometry. Source: Alexandria, functional PBE.

Summary:
D(E_F) = 0.4987 states/eV per atom
Formation energy from raw total energies = -640 meV/atom
Space-group type = No. 63

```
Na3Cu2Se3
1.0
4.095 0.000 0.000
-2.047 6.062 0.000
0.000 0.000 13.848
Na Cu Se
6 4 6
direct
0.931 0.862 0.389 Na
0.069 0.138 0.889 Na
0.931 0.862 0.111 Na
0.069 0.138 0.611 Na
0.668 0.337 0.250 Na
0.332 0.663 0.750 Na
0.765 0.530 0.910 Cu
0.235 0.470 0.410 Cu
0.765 0.530 0.590 Cu
0.235 0.470 0.090 Cu
0.632 0.263 0.450 Se
0.368 0.737 0.950 Se
0.632 0.263 0.050 Se
0.368 0.737 0.550 Se
0.338 0.677 0.250 Se
0.662 0.323 0.750 Se
```

(5)
Crystalline NaCuSe at its relaxed geometry. Source: Alexandria, functional PBE.

Summary:
D(E_F) = 0.2689 states/eV per atom
Formation energy from raw total energies = -254 meV/atom
Space-group type = No. 107

```
NaCuSe
1.0
3.612 0.000 0.000
0.000 3.612 0.000
-1.806 -1.806 5.041
Na Se Cu
1 1 1
direct
0.004 0.004 0.008 Na
0.727 0.727 0.454 Se
0.269 0.269 0.538 Cu
```

(6)
Crystalline Na2CuSe3 at its relaxed geometry. Source: Alexandria, functional PBE.

Summary:
D(E_F) = 0.6151 states/eV per atom
Formation energy from raw total energies = -572 meV/atom
Space-group type = No. 62

```
Na2CuSe3
1.0
-3.240 -0.649 -2.016
-3.632 -2.539 6.656
-5.461 16.720 3.398
Na Cu Se
8 4 12
direct
0.250 0.592 0.595 Na
0.750 0.908 0.095 Na
0.250 0.092 0.905 Na
0.750 0.408 0.405 Na
0.250 0.651 0.809 Na
0.750 0.849 0.309 Na
0.250 0.151 0.691 Na
0.750 0.349 0.191 Na
0.250 0.941 0.457 Cu
0.750 0.559 0.957 Cu
0.250 0.441 0.043 Cu
0.750 0.059 0.543 Cu
0.250 0.735 0.976 Se
0.750 0.765 0.476 Se
0.250 0.235 0.524 Se
0.750 0.265 0.024 Se
0.250 0.073 0.221 Se
0.750 0.427 0.721 Se
0.250 0.573 0.279 Se
0.750 0.927 0.779 Se
0.250 0.640 0.147 Se
0.750 0.860 0.647 Se
0.250 0.140 0.353 Se
0.750 0.360 0.853 Se
```